Sr2CuMo: optimized geometry, PBE.

Total magnetization (Bohr magnetons per cell): 1.71
Symmetry: R-3m, No. 166
Formation enthalpy at 0 K (eV per atom): 0.955
Polymorph energy (0 for the lowest one) (eV per formula unit): 1.37

abc: 9.786 9.786 9.786
angles: 21.56 21.56 21.56
Last column: magnetic moment on the atom in μB.
Positions (direct):
Cu 0.250 0.250 0.250  -0.01
Mo 0.750 0.750 0.750  1.65
Sr 0.998 0.998 0.998  -0.01
Sr 0.502 0.502 0.502  -0.01

***

Sc2ZnFe: optimized geometry, PBE.

Total magnetization (Bohr magnetons per cell): 2.15
Symmetry: P4mm, No. 99
Formation enthalpy at 0 K (eV per atom): -0.038

abc: 3.221 3.221 7.035
angles: 90.00 90.00 90.00
Last column: magnetic moment on the atom in μB.
Positions (direct):
Fe 0.500 0.500 0.718  2.19
Sc 0.000 0.000 0.943  -0.18
Sc 0.500 0.500 0.296  0.20
Zn 0.000 0.000 0.543  -0.05

***

HoUAgSe4: optimized geometry, PBE.

Total magnetization (Bohr magnetons per cell): 4.00
ΔE_f (raw) (eV/atom): -1.18
Symmetry: Imma, No. 74

abc: 8.409 8.305 8.247
angles: 119.77 90.00 120.41
Last column: magnetic moment on the atom in μB.
Positions (direct):
Ho 0.500 0.000 0.500  0.01
Ho 0.500 0.000 0.000  0.01
U 0.500 0.500 0.500  2.10
U 0.000 0.500 0.500  2.10
Ag 0.881 0.762 0.131  -0.01
Ag 0.119 0.238 0.869  -0.01
Se 0.745 0.489 0.729  -0.05
Se 0.274 0.017 0.259  -0.04
Se 0.744 0.017 0.259  -0.04
Se 0.745 0.489 0.260  -0.05
Se 0.255 0.511 0.740  -0.05
Se 0.726 0.983 0.741  -0.04
Se 0.256 0.983 0.741  -0.04
Se 0.255 0.511 0.271  -0.05

***

CdOs2N: optimized geometry, PBE.

Total magnetization (Bohr magnetons per cell): 0.00
ΔE_f (raw) (eV/atom): 2.05
Symmetry: Fm-3m, No. 225
Polymorph energy (0 for the lowest one) (eV per formula unit): 5.12

abc: 4.309 4.309 4.309
angles: 60.00 60.00 60.00
Positions (direct):
N 0.000 0.000 0.000
Os 0.250 0.250 0.250
Os 0.750 0.750 0.750
Cd 0.500 0.500 0.500